Record 1
This record from Alexandria describes an optimized crystal structure of CoC2Br. The functional is PBE.

Formation energy from raw total energies (eV/atom): 2.87
Fermi-level density of states (states/eV per cell): 16.9
Relative energy among the computed polymorphs (kcal/mol of atoms): 30.73
Magnetization (μB/cell): 0.0

Cell lengths 5.563, 5.563, 5.563 Å; angles 90.00, 90.00, 90.00 degrees
Atoms (fractional coordinates):
Co  0.000  0.000  0.000
Co  0.000  0.500  0.500
Co  0.500  0.000  0.500
Co  0.500  0.500  0.000
C  0.250  0.250  0.250
C  0.250  0.250  0.750
C  0.250  0.750  0.250
C  0.250  0.750  0.750
C  0.750  0.250  0.250
C  0.750  0.250  0.750
C  0.750  0.750  0.250
C  0.750  0.750  0.750
Br  0.000  0.000  0.500
Br  0.000  0.500  0.000
Br  0.500  0.000  0.000
Br  0.500  0.500  0.500

***

Record 2
This record from Alexandria describes an optimized crystal structure of Pm2TcO6. The functional is PBE.

Formation energy from raw total energies (eV/atom): -2.49
Fermi-level density of states (states/eV per cell): 9.7
Magnetization (μB/cell): 2.0

Cell lengths 5.482, 6.106, 8.911 Å; angles 90.00, 121.65, 90.00 degrees
Atoms (fractional coordinates):
Pm  0.208  0.093  0.245
Pm  0.208  0.407  0.745
Pm  0.792  0.593  0.255
Pm  0.792  0.907  0.755
Tc  0.500  0.000  0.000
Tc  0.500  0.500  0.500
O  0.149  0.156  0.947
O  0.149  0.344  0.447
O  0.291  0.728  0.925
O  0.291  0.772  0.425
O  0.409  0.057  0.764
O  0.409  0.443  0.264
O  0.591  0.557  0.736
O  0.591  0.943  0.236
O  0.709  0.228  0.575
O  0.709  0.272  0.075
O  0.851  0.656  0.553
O  0.851  0.844  0.053

***

Record 3
This record from Alexandria describes an optimized crystal structure of PmTm2Ru. The functional is PBE.

DFT formation energy (eV/atom): -0.059
Fermi-level density of states (states/eV per cell): 19.4
Relative energy among the computed polymorphs (kcal/mol of atoms): 5.96
Magnetization (μB/cell): 0.0

Cell lengths 3.556, 3.556, 29.425 Å; angles 90.00, 90.00, 120.00 degrees
Atoms (fractional coordinates):
Pm  0.000  0.000  0.000
Pm  0.333  0.667  0.667
Pm  0.667  0.333  0.333
Tm  0.000  0.000  0.229
Tm  0.000  0.000  0.771
Tm  0.333  0.667  0.438
Tm  0.333  0.667  0.896
Tm  0.667  0.333  0.104
Tm  0.667  0.333  0.562
Ru  0.000  0.000  0.500
Ru  0.333  0.667  0.167
Ru  0.667  0.333  0.833

***

Record 4
This record from Alexandria describes an optimized crystal structure of Pr6Y. The functional is PBE.

DFT formation energy (eV/atom): 1.202
Fermi-level density of states (states/eV per cell): 11.9
Magnetization (μB/cell): 0.0

Cell lengths 8.292, 8.292, 8.292 Å; angles 90.00, 90.00, 90.00 degrees
Atoms (fractional coordinates):
Pr  0.000  0.250  0.500
Pr  0.000  0.500  0.250
Pr  0.000  0.500  0.750
Pr  0.000  0.750  0.500
Pr  0.250  0.000  0.500
Pr  0.250  0.500  0.000
Pr  0.500  0.000  0.250
Pr  0.500  0.000  0.750
Pr  0.500  0.250  0.000
Pr  0.500  0.750  0.000
Pr  0.750  0.000  0.500
Pr  0.750  0.500  0.000
Y  0.000  0.000  0.000
Y  0.500  0.500  0.500

***

Record 5
This record from Alexandria describes an optimized crystal structure of HfAg2. The functional is PBE.

DFT formation energy (eV/atom): 0.227
Fermi-level density of states (states/eV per cell): 8.7
Magnetization (μB/cell): 2.0

Cell lengths 5.492, 5.492, 5.492 Å; angles 60.00, 60.00, 60.00 degrees
Atoms (fractional coordinates):
Hf  0.125  0.125  0.125
Hf  0.875  0.875  0.875
Ag  0.000  0.500  0.500
Ag  0.500  0.000  0.500
Ag  0.500  0.500  0.000
Ag  0.500  0.500  0.500

***

Record 6
This record from Alexandria describes an optimized crystal structure of Nd2SnBi. The functional is PBE.

DFT formation energy (eV/atom): -0.689
Fermi-level density of states (states/eV per cell): 5.4
Relative energy among the computed polymorphs (kcal/mol of atoms): 3.70
Magnetization (μB/cell): 0.2

Cell lengths 4.198, 4.198, 6.848 Å; angles 90.00, 90.00, 90.00 degrees
Atoms (fractional coordinates):
Nd  0.000  0.000  0.246
Nd  0.000  0.000  0.754
Sn  0.500  0.500  0.000
Bi  0.500  0.500  0.500